Computed, not measured: a relaxed structure of CoAg2Pb at the GGA-PBE level of DFT.

Lattice parameters (Å, degrees): 3.1481 3.1481 26.9390 90.00 90.00 120.00
Space group R3m (No. 160, hexagonal axes)
Symmetry-distinct sites (fractional):
Co 0.0000 0.0000 0.0000 x3
Ag 0.0000 0.0000 0.2597 x3
Ag 0.0000 0.0000 0.5093 x3
Pb 0.0000 0.0000 0.7448 x3

Results
- energy of formation from the pure elements (eV per atom) = 0.443
- raw total energy (eV/atom) = -3.69
- DOS at the Fermi energy (states/eV/atom) = 1.0310



Computed, not measured: a relaxed structure of CoAgPb at the GGA-PBE level of DFT.

Lattice parameters (Å, degrees): 6.190 6.190 6.190 90.00 90.00 90.00
Space group F-43m (No. 216)
Symmetry-distinct sites (fractional):
Co 0.000 0.000 0.000 x4
Ag 0.250 0.250 0.250 x4
Pb 0.250 0.250 0.750 x4

Results
- energy of formation from the pure elements (eV per atom) = 0.444
- raw total energy (eV/atom) = -4.11
- DOS at the Fermi energy (states/eV/atom) = 0.8954